1.
Sc3Sn5O12 | the Alexandria database | PBE-GGA | optimized geometry; space group = Ia-3d
1.0
-6.495 6.495 6.495
6.495 -6.495 6.495
6.495 6.495 -6.495
Sc Sn O
12 20 48
direct
0.125 0.250 0.375
0.125 0.375 0.750
0.250 0.375 0.125
0.250 0.875 0.625
0.375 0.125 0.250
0.375 0.750 0.125
0.625 0.250 0.875
0.625 0.875 0.750
0.750 0.125 0.375
0.750 0.625 0.875
0.875 0.625 0.250
0.875 0.750 0.625
0.000 0.000 0.000
0.000 0.000 0.500
0.000 0.500 0.000
0.000 0.500 0.500
0.125 0.750 0.875
0.125 0.875 0.250
0.250 0.125 0.875
0.250 0.625 0.375
0.375 0.250 0.625
0.375 0.625 0.750
0.500 0.000 0.000
0.500 0.000 0.500
0.500 0.500 0.000
0.500 0.500 0.500
0.625 0.375 0.250
0.625 0.750 0.375
0.750 0.375 0.625
0.750 0.875 0.125
0.875 0.125 0.750
0.875 0.250 0.125
0.052 0.220 0.133
0.052 0.332 0.919
0.081 0.633 0.413
0.081 0.948 0.668
0.087 0.720 0.668
0.087 0.867 0.419
0.133 0.052 0.220
0.133 0.581 0.913
0.168 0.220 0.587
0.168 0.448 0.581
0.220 0.133 0.052
0.220 0.587 0.168
0.280 0.332 0.913
0.280 0.448 0.367
0.332 0.913 0.280
0.332 0.919 0.052
0.367 0.280 0.448
0.367 0.587 0.919
0.413 0.081 0.633
0.413 0.832 0.780
0.419 0.087 0.867
0.419 0.832 0.552
0.448 0.367 0.280
0.448 0.581 0.168
0.552 0.419 0.832
0.552 0.633 0.720
0.581 0.168 0.448
0.581 0.913 0.133
0.587 0.168 0.220
0.587 0.919 0.367
0.633 0.413 0.081
0.633 0.720 0.552
0.668 0.081 0.948
0.668 0.087 0.720
0.720 0.552 0.633
0.720 0.668 0.087
0.780 0.413 0.832
0.780 0.867 0.948
0.832 0.552 0.419
0.832 0.780 0.413
0.867 0.419 0.087
0.867 0.948 0.780
0.913 0.133 0.581
0.913 0.280 0.332
0.919 0.052 0.332
0.919 0.367 0.587
0.948 0.668 0.081
0.948 0.780 0.867

---

2.
Sc2SnO2 | the Alexandria database | PBE-GGA | optimized geometry; space group = I4/mmm
1.0
-1.805 1.805 6.684
1.805 -1.805 6.684
1.805 1.805 -6.684
Sc Sn O
2 1 2
direct
0.174 0.174 0.000
0.826 0.826 0.000
0.500 0.500 0.000
0.250 0.750 0.500
0.750 0.250 0.500

---

| no. | raw total energy (eV per cell) |
| --- | --- |
| 1 | -538.58 |
| 2 | -38.90 |